Density functional theory data (GGA-PBE) for a relaxed structure of Ti2In2Au.

Output
Magnetization, μB per formula unit: 0.00
E above lowest polymorph, meV per atom: 12
E_form, eV/atom: 0.012
N(E_F), states/eV per atom: 0.944

a b c (Å): 7.024 7.024 4.078
angles (deg): 90.00 90.00 90.00
Fractional positions:
Ti 0.157 0.657 0.500
Ti 0.657 0.843 0.500
Ti 0.843 0.343 0.500
Ti 0.343 0.157 0.500
Au 0.000 0.000 0.000
Au 0.500 0.500 0.000
In 0.358 0.858 0.000
In 0.858 0.642 0.000
In 0.642 0.142 0.000
In 0.142 0.358 0.000